(1)
Material: LiRe2Hg
Method: DFT, PBEsol
State: optimized geometry

Lattice parameters (Å, degrees): 4.390 4.390 4.390 119.73 119.73 90.47
Sites, in units of the cell vectors:
Li 0.000 0.000 0.000
Re 0.250 0.750 0.500
Re 0.500 0.500 0.000
Hg 0.750 0.250 0.500

Summary:
As for the total magnetization: 0.00 μB per atom. As for the space-group type: No. 119. The density comes out at 16.036 Mg/m³. Its total energy is -6.839 eV per atom. The formation energy is 1.84 eV per formula unit.

=====

(2)
Material: Li2ReHg
Method: DFT, PBEsol
State: optimized geometry

Lattice parameters (Å, degrees): 2.592 4.479 5.464 90.00 90.00 90.00
Sites, in units of the cell vectors:
Li 0.000 0.000 0.000
Li 0.500 0.500 0.250
Re 0.000 0.000 0.494
Hg 0.500 0.500 0.733

Summary:
As for the total magnetization: 0.00 μB per atom. As for the space-group type: No. 25. The density comes out at 10.488 Mg/m³. Its total energy is -4.039 eV per atom. The formation energy is 1.68 eV per formula unit.

=====

(3)
Material: LiRe2Hg
Method: DFT, PBEsol
State: optimized geometry

Lattice parameters (Å, degrees): 3.048 3.048 6.593 90.00 90.00 90.00
Sites, in units of the cell vectors:
Li 0.000 0.000 0.000
Re 0.000 0.000 0.449
Re 0.500 0.500 0.247
Hg 0.500 0.500 0.776

Summary:
As for the total magnetization: 0.00 μB per atom. As for the space-group type: No. 99. The density comes out at 15.727 Mg/m³. Its total energy is -7.085 eV per atom. The formation energy is 0.86 eV per formula unit.

=====

(4)
Material: Li2HgRh
Method: DFT, PBEsol
State: optimized geometry

Lattice parameters (Å, degrees): 2.914 4.387 4.760 90.00 93.54 90.00
Sites, in units of the cell vectors:
Li 0.250 0.000 0.222
Li 0.750 0.000 0.778
Hg 0.000 0.500 0.500
Rh 0.500 0.500 0.000

Summary:
As for the total magnetization: 0.00 μB per atom. As for the space-group type: No. 10. The density comes out at 8.676 Mg/m³. Its total energy is -3.326 eV per atom. The formation energy is -0.67 eV per formula unit.

=====

(5)
Material: Li2HgRh
Method: DFT, PBEsol
State: optimized geometry

Lattice parameters (Å, degrees): 3.178 3.178 5.615 90.00 90.00 90.00
Sites, in units of the cell vectors:
Li 0.000 0.000 0.221
Li 0.000 0.000 0.779
Hg 0.500 0.500 0.500
Rh 0.500 0.500 0.000

Summary:
As for the total magnetization: 0.00 μB per atom. As for the space-group type: No. 123. The density comes out at 9.294 Mg/m³. Its total energy is -3.332 eV per atom. The formation energy is -0.69 eV per formula unit.

=====

(6)
Material: Li2HgRh
Method: DFT, PBEsol
State: optimized geometry

Lattice parameters (Å, degrees): 4.669 4.669 4.669 130.42 130.42 72.74
Sites, in units of the cell vectors:
Li 0.250 0.750 0.500
Li 0.750 0.250 0.500
Hg 0.000 0.000 0.000
Rh 0.500 0.500 0.000

Summary:
As for the total magnetization: 0.00 μB per atom. As for the space-group type: No. 139. The density comes out at 9.146 Mg/m³. Its total energy is -3.387 eV per atom. The formation energy is -0.91 eV per formula unit.

=====

(7)
Material: Li2HgRh
Method: DFT, PBEsol
State: optimized geometry

Lattice parameters (Å, degrees): 5.525 5.525 5.525 103.35 103.35 122.55
Sites, in units of the cell vectors:
Li 0.111 0.625 0.986
Li 0.375 0.361 0.486
Li 0.639 0.125 0.014
Li 0.875 0.889 0.514
Hg 0.250 0.750 0.500
Hg 0.500 0.500 0.000
Rh 0.000 0.000 0.000
Rh 0.750 0.250 0.500

Summary:
As for the total magnetization: 0.00 μB per atom. As for the space-group type: No. 122. The density comes out at 8.455 Mg/m³. Its total energy is -3.128 eV per atom. The formation energy is 0.13 eV per formula unit.

=====

(8)
Material: Li2HgRh
Method: DFT, PBEsol
State: optimized geometry

Lattice parameters (Å, degrees): 3.313 4.120 4.333 90.00 90.00 90.00
Sites, in units of the cell vectors:
Li 0.000 0.000 0.000
Li 0.500 0.000 0.500
Hg 0.000 0.500 0.500
Rh 0.500 0.500 0.000

Summary:
As for the total magnetization: 0.00 μB per atom. As for the space-group type: No. 47. The density comes out at 8.910 Mg/m³. Its total energy is -3.386 eV per atom. The formation energy is -0.90 eV per formula unit.

=====

(9)
Material: Li2HgRh
Method: DFT, PBEsol
State: optimized geometry

Lattice parameters (Å, degrees): 4.410 4.410 4.410 60.00 60.00 60.00
Sites, in units of the cell vectors:
Li 0.000 0.000 0.000
Li 0.250 0.250 0.250
Hg 0.750 0.750 0.750
Rh 0.500 0.500 0.500

Summary:
As for the total magnetization: 0.00 μB per atom. As for the space-group type: No. 216. The density comes out at 8.690 Mg/m³. Its total energy is -3.364 eV per atom. The formation energy is -0.82 eV per formula unit.

=====

(10)
Material: Li2HgRh
Method: DFT, PBEsol
State: optimized geometry

Lattice parameters (Å, degrees): 4.949 4.949 4.949 141.35 127.50 67.07
Sites, in units of the cell vectors:
Li 0.241 0.241 0.000
Li 0.759 0.759 0.000
Hg 0.500 0.000 0.500
Rh 0.000 0.500 0.500

Summary:
As for the total magnetization: 0.00 μB per atom. As for the space-group type: No. 71. The density comes out at 8.910 Mg/m³. Its total energy is -3.391 eV per atom. The formation energy is -0.92 eV per formula unit.

=====

(11)
Material: Li2HgRh
Method: DFT, PBEsol
State: optimized geometry

Lattice parameters (Å, degrees): 4.925 4.925 4.925 139.76 130.44 65.67
Sites, in units of the cell vectors:
Li 0.000 0.000 0.000
Li 0.759 0.259 0.500
Hg 0.250 0.750 0.500
Rh 0.514 0.514 0.000

Summary:
As for the total magnetization: 0.00 μB per atom. As for the space-group type: No. 44. The density comes out at 9.108 Mg/m³. Its total energy is -3.349 eV per atom. The formation energy is -0.76 eV per formula unit.

=====

(12)
Material: LiTcHgRh2
Method: DFT, PBEsol
State: optimized geometry

Lattice parameters (Å, degrees): 4.144 4.144 4.258 90.00 90.00 90.00
Sites, in units of the cell vectors:
Li 0.000 0.000 0.000
Tc 0.500 0.500 0.500
Hg 0.000 0.000 0.500
Rh 0.000 0.500 0.000
Rh 0.500 0.000 0.000

Summary:
As for the total magnetization: 0.59 μB per atom. As for the space-group type: No. 123. The density comes out at 11.616 Mg/m³. Its total energy is -5.083 eV per atom. The formation energy is 4.66 eV per formula unit.

=====

(13)
Material: LiHgS3
Method: DFT, PBEsol
State: optimized geometry

Lattice parameters (Å, degrees): 4.446 4.446 4.446 90.00 90.00 90.00
Sites, in units of the cell vectors:
Li 0.000 0.000 0.000
Hg 0.500 0.500 0.500
S 0.000 0.000 0.500
S 0.000 0.500 0.000
S 0.500 0.000 0.000

Summary:
As for the total magnetization: 0.00 μB per atom. Its formation energy (no corrections) is 442 meV per atom. As for the space-group type: No. 221. The density comes out at 5.739 Mg/m³. Its total energy is -2.695 eV per atom.

=====

(14)
Material: LiHgS2
Method: DFT, PBEsol
State: optimized geometry

Lattice parameters (Å, degrees): 7.442 7.442 7.442 29.16 29.16 29.16
Sites, in units of the cell vectors:
Li 0.000 0.000 0.000
Hg 0.500 0.500 0.500
S 0.392 0.392 0.392
S 0.608 0.608 0.608

Summary:
As for the total magnetization: 0.00 μB per atom. Its formation energy (no corrections) is -280 meV per atom. As for the space-group type: No. 166. The density comes out at 5.212 Mg/m³. Its total energy is -3.105 eV per atom.

=====

(15)
Material: Li3HgS
Method: DFT, PBEsol
State: optimized geometry

Lattice parameters (Å, degrees): 4.583 4.583 4.583 90.00 90.00 90.00
Sites, in units of the cell vectors:
Li 0.000 0.000 0.500
Li 0.000 0.500 0.000
Li 0.500 0.000 0.000
Hg 0.500 0.500 0.500
S 0.000 0.000 0.000

Summary:
As for the total magnetization: 0.00 μB per atom. Its formation energy (no corrections) is -726 meV per atom. As for the space-group type: No. 221. The density comes out at 4.372 Mg/m³. Its total energy is -2.897 eV per atom.

=====

(16)
Material: LiHg2Sb
Method: DFT, PBEsol
State: optimized geometry

Lattice parameters (Å, degrees): 3.208 4.424 6.233 90.00 90.00 90.00
Sites, in units of the cell vectors:
Li 0.000 0.000 0.000
Hg 0.000 0.000 0.525
Hg 0.500 0.500 0.745
Sb 0.500 0.500 0.212

Summary:
As for the total magnetization: 0.00 μB per atom. Its formation energy (no corrections) is -168 meV per atom. As for the space-group type: No. 25. The density comes out at 9.948 Mg/m³. Its total energy is -2.083 eV per atom.

=====

(17)
Material: Li2HgSb
Method: DFT, PBEsol
State: optimized geometry

Lattice parameters (Å, degrees): 3.076 3.955 6.332 90.00 90.00 90.00
Sites, in units of the cell vectors:
Li 0.000 0.000 0.249
Li 0.000 0.000 0.751
Hg 0.500 0.500 0.000
Sb 0.500 0.500 0.500

Summary:
As for the total magnetization: 0.00 μB per atom. Its formation energy (no corrections) is -411 meV per atom. As for the space-group type: No. 47. The density comes out at 7.248 Mg/m³. Its total energy is -2.676 eV per atom.

=====

(18)
Material: LiHg2Sb
Method: DFT, PBEsol
State: optimized geometry

Lattice parameters (Å, degrees): 5.445 5.445 5.445 132.40 132.40 69.60
Sites, in units of the cell vectors:
Li 0.000 0.000 0.000
Hg 0.250 0.750 0.500
Hg 0.750 0.250 0.500
Sb 0.500 0.500 0.000

Summary:
As for the total magnetization: 0.00 μB per atom. Its formation energy (no corrections) is -190 meV per atom. As for the space-group type: No. 139. The density comes out at 10.188 Mg/m³. Its total energy is -2.104 eV per atom.

=====

(19)
Material: LiHg2Sb
Method: DFT, PBEsol
State: optimized geometry

Lattice parameters (Å, degrees): 4.397 4.397 4.463 90.00 90.00 90.00
Sites, in units of the cell vectors:
Li 0.000 0.000 0.000
Hg 0.000 0.500 0.500
Hg 0.500 0.000 0.500
Sb 0.500 0.500 0.000

Summary:
As for the total magnetization: 0.00 μB per atom. Its formation energy (no corrections) is -188 meV per atom. As for the space-group type: No. 123. The density comes out at 10.199 Mg/m³. Its total energy is -2.102 eV per atom.

=====

(20)
Material: LiHgSb
Method: DFT, PBEsol
State: optimized geometry

Lattice parameters (Å, degrees): 6.805 6.803 3.177 76.53 76.47 27.00
Sites, in units of the cell vectors:
Li 0.000 0.000 0.000
Hg 0.642 0.642 0.358
Sb 0.338 0.338 0.662

Summary:
As for the total magnetization: 0.00 μB per atom. Its formation energy (no corrections) is -262 meV per atom. As for the space-group type: No. 42. The density comes out at 8.435 Mg/m³. Its total energy is -2.626 eV per atom.

=====

(21)
Material: LiHgSb
Method: DFT, PBEsol
State: optimized geometry

Lattice parameters (Å, degrees): 3.313 3.313 6.918 90.00 90.00 120.00
Sites, in units of the cell vectors:
Li 0.000 0.000 0.000
Hg 0.333 0.667 0.293
Sb 0.667 0.333 0.676

Summary:
As for the total magnetization: 0.00 μB per atom. Its formation energy (no corrections) is -217 meV per atom. As for the space-group type: No. 156. The density comes out at 8.313 Mg/m³. Its total energy is -2.581 eV per atom.

=====

(22)
Material: LiHg2Sb
Method: DFT, PBEsol
State: optimized geometry

Lattice parameters (Å, degrees): 3.119 3.119 8.933 90.00 90.00 90.00
Sites, in units of the cell vectors:
Li 0.000 0.000 0.000
Hg 0.500 0.500 0.205
Hg 0.500 0.500 0.795
Sb 0.000 0.000 0.500

Summary:
As for the total magnetization: 0.00 μB per atom. Its formation energy (no corrections) is -194 meV per atom. As for the space-group type: No. 123. The density comes out at 10.126 Mg/m³. Its total energy is -2.108 eV per atom.

=====

(23)
Material: LiHg2Sb
Method: DFT, PBEsol
State: optimized geometry

Lattice parameters (Å, degrees): 5.595 5.595 5.595 134.55 134.55 66.23
Sites, in units of the cell vectors:
Li 0.000 0.000 0.000
Hg 0.250 0.750 0.500
Hg 0.500 0.500 0.000
Sb 0.750 0.250 0.500

Summary:
As for the total magnetization: 0.00 μB per atom. Its formation energy (no corrections) is -180 meV per atom. As for the space-group type: No. 119. The density comes out at 10.047 Mg/m³. Its total energy is -2.095 eV per atom.

=====

(24)
Material: Li2HgSb
Method: DFT, PBEsol
State: optimized geometry

Lattice parameters (Å, degrees): 5.248 5.248 5.023 95.38 95.38 35.22
Sites, in units of the cell vectors:
Li 0.000 0.000 0.000
Li 0.241 0.241 0.689
Hg 0.742 0.742 0.150
Sb 0.499 0.499 0.504

Summary:
As for the total magnetization: 0.00 μB per atom. Its formation energy (no corrections) is -403 meV per atom. As for the space-group type: No. 8. The density comes out at 7.032 Mg/m³. Its total energy is -2.667 eV per atom.

=====

(25)
Material: Li2HgSb
Method: DFT, PBEsol
State: optimized geometry

Lattice parameters (Å, degrees): 3.675 3.675 5.910 90.00 90.00 90.00
Sites, in units of the cell vectors:
Li 0.000 0.000 0.000
Li 0.500 0.500 0.280
Hg 0.500 0.500 0.818
Sb 0.000 0.000 0.498

Summary:
As for the total magnetization: 0.00 μB per atom. Its formation energy (no corrections) is -372 meV per atom. As for the space-group type: No. 99. The density comes out at 6.995 Mg/m³. Its total energy is -2.636 eV per atom.

=====

(26)
Material: LiHg2Sb
Method: DFT, PBEsol
State: optimized geometry

Lattice parameters (Å, degrees): 6.227 6.227 3.180 103.16 103.16 123.70
Sites, in units of the cell vectors:
Li 0.000 0.000 0.000
Hg 0.000 0.500 0.000
Hg 0.500 0.000 0.000
Sb 0.500 0.500 0.000

Summary:
As for the total magnetization: 0.00 μB per atom. Its formation energy (no corrections) is -161 meV per atom. As for the space-group type: No. 12. The density comes out at 9.793 Mg/m³. Its total energy is -2.076 eV per atom.

=====

(27)
Material: LiHg2Sb
Method: DFT, PBEsol
State: optimized geometry

Lattice parameters (Å, degrees): 6.111 6.111 6.111 150.13 129.49 59.80
Sites, in units of the cell vectors:
Li 0.000 0.000 0.000
Hg 0.218 0.718 0.500
Hg 0.782 0.282 0.500
Sb 0.500 0.500 0.000

Summary:
As for the total magnetization: 0.00 μB per atom. Its formation energy (no corrections) is -163 meV per atom. As for the space-group type: No. 71. The density comes out at 10.109 Mg/m³. Its total energy is -2.077 eV per atom.

=====

(28)
Material: Li2HgSb2
Method: DFT, PBEsol
State: optimized geometry

Lattice parameters (Å, degrees): 8.418 8.418 3.094 90.00 90.00 90.00
Sites, in units of the cell vectors:
Li 0.118 0.382 0.000
Li 0.382 0.882 0.000
Li 0.618 0.118 0.000
Li 0.882 0.618 0.000
Hg 0.000 0.000 0.500
Hg 0.500 0.500 0.500
Sb 0.181 0.681 0.500
Sb 0.319 0.181 0.500
Sb 0.681 0.819 0.500
Sb 0.819 0.319 0.500

Summary:
As for the total magnetization: 0.00 μB per atom. Its formation energy (no corrections) is -283 meV per atom. As for the space-group type: No. 127. The density comes out at 6.938 Mg/m³. Its total energy is -3.006 eV per atom.

=====

(29)
Material: LiHg2Sb
Method: DFT, PBEsol
State: optimized geometry

Lattice parameters (Å, degrees): 10.440 10.440 10.440 156.10 156.10 34.05
Sites, in units of the cell vectors:
Li 0.000 0.000 0.000
Li 0.750 0.250 0.500
Hg 0.107 0.625 0.982
Hg 0.375 0.357 0.482
Hg 0.643 0.125 0.018
Hg 0.875 0.893 0.518
Sb 0.250 0.750 0.500
Sb 0.500 0.500 0.000

Summary:
As for the total magnetization: 0.00 μB per atom. Its formation energy (no corrections) is -129 meV per atom. As for the space-group type: No. 122. The density comes out at 9.434 Mg/m³. Its total energy is -2.043 eV per atom.

=====

(30)
Material: LiHg2Sb
Method: DFT, PBEsol
State: optimized geometry

Lattice parameters (Å, degrees): 3.181 5.404 5.239 90.00 95.14 90.00
Sites, in units of the cell vectors:
Li 0.000 0.000 0.000
Hg 0.275 0.500 0.238
Hg 0.725 0.500 0.762
Sb 0.500 0.000 0.500

Summary:
As for the total magnetization: 0.00 μB per atom. Its formation energy (no corrections) is -185 meV per atom. As for the space-group type: No. 10. The density comes out at 9.809 Mg/m³. Its total energy is -2.099 eV per atom.